First-principles (PBE) data for an optimized crystal structure of Li2ZrSe, as listed in Alexandria via LeMat-Bulk.

The crystal system is tetragonal. The value obtained for the total moment is 0.00 μB per cell. The total energy is -17.09 eV/f.u. The uncorrected formation energy comes out at -0.308 eV per atom.

Cell: 7.728 7.728 5.276 Å, 90.00 90.00 90.00°
Space group I-42d (No. 122)
One atom of each set of equivalent atoms:
1 Li 0.189 0.250 0.125 x8
2 Zr 0.000 0.000 0.500 x4
3 Se 0.000 0.000 0.000 x4